The following is a DFT calculation (meta-GGA SCAN) of a crystal of BeCrCl2 relaxed with PBEsol.

The space group is P4/mmm (No. 123) and the conventional cell measures 3.209, 3.209 and 6.136 Å, with angles of 90.00, 90.00 and 90.00 degrees. The inequivalent atoms are Be at (0.000, 0.000, 0.000), Cr at (0.000, 0.000, 0.500) and Cl at (0.500, 0.500, 0.251).

As for the crystal system: tetragonal. The uncorrected formation energy is 175.3 meV per atom. The value obtained for the density of states at the Fermi level is 0.65 states/eV/f.u. The offset from the most stable computed form is 747 meV/atom.

The following is a DFT calculation (meta-GGA SCAN) of a crystal of BeCrCl relaxed with PBEsol.

The space group is P-6m2 (No. 187) and the conventional cell measures 3.8514, 3.8514 and 2.8428 Å, with angles of 90.00, 90.00 and 120.00 degrees. The inequivalent atoms are Be at (0.0000, 0.0000, 0.0000), Cr at (0.3333, 0.6667, 0.5000) and Cl at (0.6667, 0.3333, 0.5000).

As for the crystal system: hexagonal. The uncorrected formation energy is 673.7 meV per atom. The value obtained for the density of states at the Fermi level is 1.78 states/eV/f.u.

The following is a DFT calculation (meta-GGA SCAN) of a crystal of BeCrS2Cl relaxed with PBEsol.

The space group is P4/mmm (No. 123) and the conventional cell measures 4.511, 4.511 and 4.543 Å, with angles of 90.00, 90.00 and 90.00 degrees. The inequivalent atoms are Be at (0.000, 0.000, 0.000), Cr at (0.500, 0.500, 0.500), S at (0.000, 0.500, 0.500) and Cl at (0.500, 0.500, 0.000).

As for the crystal system: tetragonal. The uncorrected formation energy is 138.2 meV per atom. The value obtained for the density of states at the Fermi level is 1.34 states/eV/f.u.

The following is a DFT calculation (meta-GGA SCAN) of a crystal of CsBe2Cl relaxed with PBEsol.

The space group is Fm-3m (No. 225) and the conventional cell measures 7.756, 7.756 and 7.756 Å, with angles of 90.00, 90.00 and 90.00 degrees. The inequivalent atoms are Cs at (0.000, 0.000, 0.000), Be at (0.250, 0.250, 0.250) and Cl at (0.000, 0.000, 0.500).

As for the crystal system: cubic. The uncorrected formation energy is 894.3 meV per atom.

The following is a DFT calculation (meta-GGA SCAN) of a crystal of CsBeS2Cl relaxed with PBEsol.

The space group is P4/mmm (No. 123) and the conventional cell measures 5.238, 5.238 and 6.144 Å, with angles of 90.00, 90.00 and 90.00 degrees. The inequivalent atoms are Cs at (0.000, 0.000, 0.000), Be at (0.500, 0.500, 0.500), S at (0.000, 0.500, 0.000) and Cl at (0.000, 0.000, 0.500).

As for the crystal system: tetragonal. The uncorrected formation energy is 1247.0 meV per atom. The value obtained for the density of states at the Fermi level is 4.08 states/eV/f.u.

The following is a DFT calculation (meta-GGA SCAN) of a crystal of BeCu2Cl relaxed with PBEsol.

The space group is P4/mmm (No. 123) and the conventional cell measures 2.921, 2.921 and 5.948 Å, with angles of 90.00, 90.00 and 90.00 degrees. The inequivalent atoms are Be at (0.000, 0.000, 0.000), Cu at (0.500, 0.500, 0.198) and Cl at (0.000, 0.000, 0.500).

As for the crystal system: tetragonal. The uncorrected formation energy is 156.0 meV per atom. The value obtained for the density of states at the Fermi level is 1.31 states/eV/f.u. The offset from the most stable computed form is 13 meV/atom.

The following is a DFT calculation (meta-GGA SCAN) of a crystal of BeCuCl4 relaxed with PBEsol.

The space group is F-43m (No. 216) and the conventional cell measures 7.956, 7.956 and 7.956 Å, with angles of 90.00, 90.00 and 90.00 degrees. The inequivalent atoms are Be at (0.000, 0.000, 0.000), Cu at (0.250, 0.250, 0.750) and Cl at (0.125, 0.125, 0.375).

As for the crystal system: cubic. The uncorrected formation energy is 1072.2 meV per atom. The value obtained for the density of states at the Fermi level is 0.92 states/eV/f.u.

The following is a DFT calculation (meta-GGA SCAN) of a crystal of Be2CuCl relaxed with PBEsol.

The space group is C2/m (No. 12) and the conventional cell measures 7.570, 2.878 and 6.110 Å, with angles of 90.00, 122.39 and 90.00 degrees. The inequivalent atoms are Be at (0.147, 0.000, 0.351), Cu at (0.000, 0.500, 0.500) and Cl at (0.000, 0.500, 0.000).

As for the crystal system: monoclinic. The uncorrected formation energy is 98.1 meV per atom. The value obtained for the density of states at the Fermi level is 0.88 states/eV/f.u. The offset from the most stable computed form is 108 meV/atom.

The following is a DFT calculation (meta-GGA SCAN) of a crystal of BeCuCl relaxed with PBEsol.

The space group is F-43m (No. 216) and the conventional cell measures 5.758, 5.758 and 5.758 Å, with angles of 90.00, 90.00 and 90.00 degrees. The inequivalent atoms are Be at (0.000, 0.000, 0.000), Cu at (0.000, 0.000, 0.500) and Cl at (0.250, 0.250, 0.750).

As for the crystal system: cubic. The uncorrected formation energy is 1008.2 meV per atom. The value obtained for the density of states at the Fermi level is 0.81 states/eV/f.u.

The following is a DFT calculation (meta-GGA SCAN) of a crystal of Be4CuCl relaxed with PBEsol.

The space group is F-43m (No. 216) and the conventional cell measures 6.362, 6.362 and 6.362 Å, with angles of 90.00, 90.00 and 90.00 degrees. The inequivalent atoms are Be at (0.123, 0.123, 0.377), Cu at (0.250, 0.250, 0.750) and Cl at (0.000, 0.000, 0.000).

As for the crystal system: cubic. The uncorrected formation energy is 580.9 meV per atom. The value obtained for the density of states at the Fermi level is 2.52 states/eV/f.u.

The following is a DFT calculation (meta-GGA SCAN) of a crystal of Be2CuCl relaxed with PBEsol.

The space group is Fm-3m (No. 225) and the conventional cell measures 5.866, 5.866 and 5.866 Å, with angles of 90.00, 90.00 and 90.00 degrees. The inequivalent atoms are Be at (0.250, 0.250, 0.250), Cu at (0.000, 0.000, 0.000) and Cl at (0.000, 0.000, 0.500).

As for the crystal system: cubic. The uncorrected formation energy is 1056.3 meV per atom. The value obtained for the density of states at the Fermi level is 2.49 states/eV/f.u. The offset from the most stable computed form is 1066 meV/atom.

The following is a DFT calculation (meta-GGA SCAN) of a crystal of BeCu2Cl relaxed with PBEsol.

The space group is Cmm2 (No. 35) and the conventional cell measures 2.969, 4.734 and 7.878 Å, with angles of 90.00, 90.00 and 90.00 degrees. The inequivalent atoms are Be at (0.000, 0.000, 0.000), Cu at (0.000, 0.000, 0.459), Cu at (0.000, 0.500, 0.218) and Cl at (0.000, 0.500, 0.823).

As for the crystal system: orthorhombic. The uncorrected formation energy is 142.7 meV per atom. The value obtained for the density of states at the Fermi level is 0.82 states/eV/f.u. The offset from the most stable computed form is 0 meV/atom.